Below is crystalline K3Tm3VO8 at its relaxed geometry, with properties calculated at the GGA+U level.

Computed properties:
total moment = 1.000 Bohr magnetons per cell
space group = C2/m, No. 12
DOS(E_F) = 0.000 states/eV per atom
mass density = 5.59 g/cm3
uncorrected energy = -0.509 Ry per atom

Unit cell a=6.6317 b=6.6280 c=7.3478 alpha=116.83 beta=90.00 gamma=120.02
With the nearest neighbours (Å) after each atom.
Positions (direct):
1 O 0.7272 0.4545 0.6813  3 Tm 2.23
2 O 0.7930 0.5860 0.3322  1 V 2.03, 2 Tm 2.27
3 O 0.7922 0.0394 0.3316  1 V 2.04, 2 Tm 2.27
4 Tm 0.0000 0.5000 0.5000  6 O 2.23-2.27
5 O 0.7528 0.9606 0.6684  1 V 2.04, 2 Tm 2.27
6 K 0.0000 0.0000 0.0000  6 O 2.76-2.77
7 K 0.5000 0.5000 0.0000  6 O 2.77
8 Tm 0.5000 0.0000 0.5000  6 O 2.23-2.27
9 O 0.2728 0.5455 0.3187  3 Tm 2.23
10 O 0.2078 0.9606 0.6684  1 V 2.04, 2 Tm 2.27
11 V 0.0000 0.0000 0.5000  6 O 2.03-2.04
12 Tm 0.5000 0.5000 0.5000  6 O 2.23-2.27
13 O 0.2472 0.0394 0.3316  1 V 2.04, 2 Tm 2.27
14 O 0.2070 0.4140 0.6678  1 V 2.03, 2 Tm 2.27
15 K 0.0000 0.5000 0.0000  6 O 2.77

---

Below is crystalline KTmV2O8 at its relaxed geometry, with properties calculated at the GGA+U level.

Computed properties:
total moment = 2.023 Bohr magnetons per cell
space group = P-3m1, No. 164
DOS(E_F) = 0.857 states/eV per atom
mass density = 3.19 g/cm3
uncorrected energy = -0.514 Ry per atom

Unit cell a=5.8722 b=5.8722 c=7.6337 alpha=90.00 beta=90.00 gamma=120.00
With the nearest neighbours (Å) after each atom.
Positions (direct):
1 O 0.3333 0.6667 0.5240  1 V 1.71
2 O 0.8293 0.1707 0.1787  1 V 1.75
3 O 0.8293 0.6586 0.1787  1 V 1.75
4 O 0.6586 0.8293 0.8213  1 V 1.75
5 O 0.1707 0.3414 0.8213  1 V 1.75
6 O 0.1707 0.8293 0.8213  1 V 1.75
7 Tm 0.0000 0.0000 0.0000  6 O 2.21
8 V 0.6667 0.3333 0.2518  4 O 1.71-1.75
9 K 0.0000 0.0000 0.5000  6 O 3.01
10 O 0.6667 0.3333 0.4760  1 V 1.71
11 O 0.3414 0.1707 0.1787  1 V 1.75
12 V 0.3333 0.6667 0.7482  4 O 1.71-1.75

---

Below is crystalline KTmV2O6 at its relaxed geometry, with properties calculated at the GGA+U level.

Computed properties:
total moment = 2.000 Bohr magnetons per cell
space group = R-3, No. 148
mass density = 4.68 g/cm3
uncorrected energy = -0.536 Ry per atom

Unit cell a=5.4883 b=5.4883 c=6.3618 alpha=64.45 beta=64.45 gamma=60.00
With the nearest neighbours (Å) after each atom.
Positions (direct):
1 O 0.3792 0.9192 0.2106  2 V 1.92-2.07
2 O 0.9192 0.4911 0.2106  2 V 1.92-2.07
3 K 0.0000 0.0000 0.0000  6 O 2.70
4 O 0.0808 0.5089 0.7894  2 V 1.92-2.07
5 V 0.6785 0.6785 0.9644  6 O 1.92-2.07
6 O 0.6208 0.0808 0.7894  2 V 1.92-2.07
7 O 0.5089 0.6208 0.7894  2 V 1.92-2.07
8 O 0.4911 0.3792 0.2106  2 V 1.92-2.07
9 V 0.3215 0.3215 0.0356  6 O 1.92-2.07
10 Tm 0.5000 0.5000 0.5000  6 O 2.24

---

Below is crystalline K2Tm2VO6 at its relaxed geometry, with properties calculated at the GGA+U level.

Computed properties:
total moment = 1.000 Bohr magnetons per cell
space group = C2/m, No. 12
DOS(E_F) = 0.000 states/eV per atom
mass density = 5.33 g/cm3
uncorrected energy = -0.515 Ry per atom

Unit cell a=5.6553 b=5.6553 c=6.5569 alpha=97.50 beta=97.50 gamma=119.99
With the nearest neighbours (Å) after each atom.
Positions (direct):
1 Tm 0.3327 0.6673 0.5000  6 O 2.21-2.28
2 O 0.7616 0.7616 0.6637  1 V 1.93
3 Tm 0.6673 0.3327 0.5000  6 O 2.21-2.28
4 O 0.9515 0.6371 0.3288  1 V 2.07, 2 Tm 2.21-2.24
5 K 0.1631 0.8369 0.0000  6 O 2.70-2.94
6 O 0.6371 0.9515 0.3288  1 V 2.07, 2 Tm 2.21-2.24
7 O 0.3629 0.0485 0.6712  1 V 2.07, 2 Tm 2.21-2.24
8 O 0.2384 0.2384 0.3363  1 V 1.93
9 V 0.0000 0.0000 0.5000  6 O 1.93-2.07
10 O 0.0485 0.3629 0.6712  1 V 2.07, 2 Tm 2.21-2.24
11 K 0.8369 0.1631 0.0000  6 O 2.70-2.94

---

Below is crystalline K2TmV2O6 at its relaxed geometry, with properties calculated at the GGA+U level.

Computed properties:
total moment = 1.000 Bohr magnetons per cell
space group = R-3m, No. 166
mass density = 3.87 g/cm3
uncorrected energy = -0.503 Ry per atom

Unit cell a=6.0771 b=6.0771 c=6.9314 alpha=64.00 beta=64.00 gamma=60.00
With the nearest neighbours (Å) after each atom.
Positions (direct):
1 O 0.2572 0.7562 0.2304  1 V 1.76
2 O 0.7562 0.2572 0.2304  1 V 1.76
3 O 0.7428 0.2438 0.7696  1 V 1.76
4 O 0.2438 0.7428 0.7696  1 V 1.76
5 K 0.7910 0.7910 0.6270  9 O 2.95-3.16
6 O 0.7562 0.7562 0.2304  1 V 1.76
7 V 0.5816 0.5816 0.2551  3 O 1.76
8 O 0.2438 0.2438 0.7696  1 V 1.76
9 V 0.4184 0.4184 0.7449  3 O 1.76
10 K 0.2090 0.2090 0.3730  9 O 2.95-3.16
11 Tm 0.0000 0.0000 0.0000  6 O 2.23

---

Below is crystalline K4Tm3VO8 at its relaxed geometry, with properties calculated at the GGA+U level.

Computed properties:
total moment = 2.000 Bohr magnetons per cell
space group = C2/m, No. 12
DOS(E_F) = 0.000 states/eV per atom
mass density = 5.77 g/cm3
uncorrected energy = -0.486 Ry per atom

Unit cell a=6.6815 b=7.3178 c=6.7285 alpha=117.38 beta=119.77 gamma=90.00
With the nearest neighbours (Å) after each atom.
Positions (direct):
1 O 0.7270 0.6840 0.4540  3 Tm 2.25
2 O 0.2283 0.6865 0.4566  2 Tm 2.25, 1 V 2.26
3 V 0.0000 0.5000 0.0000  6 O 2.13-2.26
4 K 0.0000 0.0000 0.0000  6 O 2.75-2.78
5 O 0.7441 0.6774 0.9604  1 V 2.13, 2 Tm 2.27-2.29
6 K 0.5000 0.0000 0.0000  6 O 2.76-2.86
7 O 0.2163 0.6774 0.9604  1 V 2.13, 2 Tm 2.27-2.29
8 O 0.2730 0.3160 0.5460  3 Tm 2.25
9 K 0.5000 0.0000 0.5000  6 O 2.74-2.76
10 Tm 0.5000 0.5000 0.5000  6 O 2.25-2.29
11 Tm 0.5000 0.5000 0.0000  6 O 2.25-2.27
12 O 0.7837 0.3226 0.0396  1 V 2.13, 2 Tm 2.27-2.29
13 Tm 0.0000 0.5000 0.5000  6 O 2.25-2.29
14 O 0.2559 0.3226 0.0396  1 V 2.13, 2 Tm 2.27-2.29
15 O 0.7717 0.3135 0.5434  2 Tm 2.25, 1 V 2.26
16 K 0.0000 0.0000 0.5000  6 O 2.74-2.76

---

Below is crystalline K3Tm3WO8 at its relaxed geometry, with properties calculated at the GGA+U level.

Computed properties:
total moment = 2.000 Bohr magnetons per cell
space group = C2/m, No. 12
DOS(E_F) = 0.000 states/eV per atom
mass density = 6.30 g/cm3
uncorrected energy = -0.508 Ry per atom

Unit cell a=6.7528 b=6.7209 c=7.3844 alpha=117.02 beta=90.00 gamma=120.16
With the nearest neighbours (Å) after each atom.
Positions (direct):
1 O 0.7405 0.9572 0.6718  1 W 2.14, 2 Tm 2.27
2 O 0.7833 0.0428 0.3282  1 W 2.14, 2 Tm 2.27
3 O 0.7273 0.4546 0.6793  3 Tm 2.25
4 K 0.5000 0.5000 0.0000  6 O 2.79-2.81
5 K 0.0000 0.5000 0.0000  6 O 2.79-2.81
6 Tm 0.0000 0.5000 0.5000  6 O 2.25-2.29
7 K 0.0000 0.0000 0.0000  6 O 2.79-2.81
8 Tm 0.5000 0.5000 0.5000  6 O 2.25-2.29
9 O 0.2128 0.4256 0.6721  1 W 2.10, 2 Tm 2.29
10 W 0.0000 0.0000 0.5000  6 O 2.10-2.14
11 O 0.7872 0.5744 0.3279  1 W 2.10, 2 Tm 2.29
12 Tm 0.5000 0.0000 0.5000  6 O 2.25-2.27
13 O 0.2595 0.0428 0.3282  1 W 2.14, 2 Tm 2.27
14 O 0.2167 0.9572 0.6718  1 W 2.14, 2 Tm 2.27
15 O 0.2727 0.5454 0.3207  3 Tm 2.25

---

Below is crystalline K2TmWO6 at its relaxed geometry, with properties calculated at the GGA+U level.

Computed properties:
total moment = 2.034 Bohr magnetons per cell
space group = Fm-3m, No. 225
DOS(E_F) = 0.512 states/eV per atom
mass density = 5.98 g/cm3
uncorrected energy = -0.490 Ry per atom

Unit cell a=5.9146 b=5.9150 c=8.3640 alpha=90.00 beta=90.00 gamma=90.00
With the nearest neighbours (Å) after each atom.
Positions (direct):
1 O 0.7666 0.9838 0.0000  1 W 1.95
2 O 0.5000 0.2499 0.2665  1 W 1.95
3 O 0.7336 0.4832 0.5000  1 W 1.95
4 O 0.2334 0.9838 0.0000  1 W 1.95
5 W 0.0000 0.7502 0.0000  6 O 1.95
6 O 0.2664 0.4832 0.5000  1 W 1.95
7 K 0.0000 0.2498 0.2501  12 O 2.96
8 Tm 0.5000 0.2503 0.0000  6 O 2.23
9 K 0.5000 0.7502 0.2499  12 O 2.96
10 K 0.0000 0.2498 0.7499  12 O 2.96
11 Tm 0.0000 0.7497 0.5000  6 O 2.23
12 O 0.7664 0.5168 0.0000  1 W 1.95
13 W 0.5000 0.2498 0.5000  6 O 1.95
14 O 0.2666 0.0162 0.5000  1 W 1.95
15 O 0.5000 0.2499 0.7335  1 W 1.95
16 O 0.7334 0.0162 0.5000  1 W 1.95
17 K 0.5000 0.7502 0.7501  12 O 2.96
18 O 0.2336 0.5168 0.0000  1 W 1.95
19 O 0.0000 0.7501 0.2335  1 W 1.95
20 O 0.0000 0.7501 0.7665  1 W 1.95

---

Below is crystalline K2TmW3O12 at its relaxed geometry, with properties calculated at the GGA+U level.

Computed properties:
total moment = 0.981 Bohr magnetons per cell
space group = R-3m, No. 166
DOS(E_F) = 0.620 states/eV per atom
mass density = 5.42 g/cm3
uncorrected energy = -0.518 Ry per atom

Unit cell a=7.5867 b=7.5867 c=7.5867 alpha=59.24 beta=59.24 gamma=59.24
With the nearest neighbours (Å) after each atom.
Positions (direct):
1 O 0.3017 0.3017 0.9351  2 W 1.96
2 W 0.0000 0.0000 0.5000  6 O 1.91-1.96
3 O 0.9237 0.3509 0.9237  1 W 1.91
4 O 0.3017 0.9351 0.3017  2 W 1.96
5 O 0.0763 0.0763 0.6491  1 W 1.91
6 O 0.0649 0.6983 0.6983  2 W 1.96
7 W 0.0000 0.5000 0.0000  6 O 1.91-1.96
8 O 0.3509 0.9237 0.9237  1 W 1.91
9 O 0.9351 0.3017 0.3017  2 W 1.96
10 K 0.3457 0.3457 0.3457  3 O 2.88
11 O 0.0763 0.6491 0.0763  1 W 1.91
12 O 0.6491 0.0763 0.0763  1 W 1.91
13 K 0.6543 0.6543 0.6543  3 O 2.88
14 Tm 0.0000 0.0000 0.0000  6 O 2.22
15 O 0.6983 0.0649 0.6983  2 W 1.96
16 W 0.5000 0.0000 0.0000  6 O 1.91-1.96
17 O 0.9237 0.9237 0.3509  1 W 1.91
18 O 0.6983 0.6983 0.0649  2 W 1.96